# 1
# ZnBr2Cl PBE-GGA relaxed
data_ZnBr2Cl
_chemical_formula_sum 'Zn3 Br6 Cl3'
_symmetry_space_group_name_H-M 'R -3 m'
_symmetry_Int_Tables_number 166
_symmetry_space_group_name_Hall '-R 3 2"'
_cell_length_a 3.6864
_cell_length_b 3.6864
_cell_length_c 31.2403
_cell_angle_alpha 90.00
_cell_angle_beta 90.00
_cell_angle_gamma 120.00
loop_
_atom_site_label
_atom_site_fract_x
_atom_site_fract_y
_atom_site_fract_z
Zn1 0.0000 0.0000 0.0000
Br1 0.0000 0.0000 0.2843
Cl1 0.0000 0.0000 0.5000
# total moment	0.90	μB/f.u.
# uncorrected energy	-1.93	eV per atom

---

# 2
# ZnBrCl2 PBE-GGA relaxed
data_ZnBrCl2
_chemical_formula_sum 'Zn4 Br4 Cl8'
_symmetry_space_group_name_H-M 'F -4 3 m'
_symmetry_Int_Tables_number 216
_symmetry_space_group_name_Hall 'F -4 2 3'
_cell_length_a 6.979
_cell_length_b 6.979
_cell_length_c 6.979
_cell_angle_alpha 90.00
_cell_angle_beta 90.00
_cell_angle_gamma 90.00
loop_
_atom_site_label
_atom_site_fract_x
_atom_site_fract_y
_atom_site_fract_z
Zn1 0.000 0.000 0.000
Br1 0.250 0.250 0.750
Cl1 0.000 0.000 0.500
Cl2 0.250 0.250 0.250
# total moment	1.05	μB/f.u.
# uncorrected energy	-1.50	eV per atom

---

# 3
# ZnBrCl2 PBE-GGA relaxed
data_ZnBrCl2
_chemical_formula_sum 'Zn1 Br1 Cl2'
_symmetry_space_group_name_H-M 'P m m m'
_symmetry_Int_Tables_number 47
_symmetry_space_group_name_Hall '-P 2 2'
_cell_length_a 3.791
_cell_length_b 3.904
_cell_length_c 6.861
_cell_angle_alpha 90.00
_cell_angle_beta 90.00
_cell_angle_gamma 90.00
loop_
_atom_site_label
_atom_site_fract_x
_atom_site_fract_y
_atom_site_fract_z
Zn1 0.000 0.000 0.000
Br1 0.500 0.000 0.500
Cl1 0.000 0.500 0.500
Cl2 0.500 0.500 0.000
# total moment	0.00	μB/f.u.
# uncorrected energy	-1.68	eV per atom

---

Calculated distance to the lowest polymorph of the same formula in order - 245.2 770.1 595.1 meV per atom
Calculated formation energy without anion corrections in order - -314 156 -19 meV/atom